Record 1
Here is PmNdNiAu after structural relaxation from the Alexandria database. Energies are from GGA-PBE.

Unit cell a=7.2289 b=7.2289 c=7.2289 alpha=90.00 beta=90.00 gamma=90.00
Space group F-43m (No. 216)
Unique sites:
Pm  0.0000  0.0000  0.0000 (multiplicity 4)
Nd  0.0000  0.0000  0.5000 (multiplicity 4)
Ni  0.2500  0.2500  0.2500 (multiplicity 4)
Au  0.2500  0.2500  0.7500 (multiplicity 4)

- DFT formation energy: -472 meV per atom
- Energy above the lowest structure with this stoichiometry: 0.072 eV/atom
- V: 23.61 Å³/atom
- Total moment: 0.00 μB/f.u.
- Uncorrected energy: -81.86 eV/cell

=====

Record 2
Here is Dy5BiPb4 after structural relaxation from the Alexandria database. Energies are from GGA-PBE.

Unit cell a=9.9614 b=9.9614 c=6.2965 alpha=90.00 beta=90.00 gamma=90.00
Space group I4 (No. 79)
Unique sites:
Dy  0.0000  0.0000  0.0000 (multiplicity 2)
Dy  0.0980  0.2978  0.5010 (multiplicity 8)
Bi  0.0000  0.0000  0.5000 (multiplicity 2)
Pb  0.1005  0.3001  0.0010 (multiplicity 8)

- DFT formation energy: -433 meV per atom
- V: 31.24 Å³/atom
- Total moment: 0.00 μB/f.u.
- Uncorrected energy: -92.11 eV/cell

=====

Record 3
Here is K2TeSe after structural relaxation from the Alexandria database. Energies are from GGA-PBE.

Unit cell a=3.9790 b=3.9790 c=30.5346 alpha=90.00 beta=90.00 gamma=120.00
Space group R-3m (No. 166, hexagonal axes)
Unique sites:
K  0.0000  0.0000  0.2416 (multiplicity 6)
Te  0.0000  0.0000  0.0000 (multiplicity 3)
Se  0.0000  0.0000  0.5000 (multiplicity 3)

- Energy above the lowest structure with this stoichiometry: 0.284 eV/atom
- V: 34.89 Å³/atom
- Total moment: 0.38 μB/f.u.
- Uncorrected energy: -33.09 eV/cell
- ΔE_f (raw): -2.2 eV/f.u.

=====

Record 4
Here is Ho2GaOs after structural relaxation from the Alexandria database. Energies are from GGA-PBE.

Unit cell a=3.4657 b=3.4657 c=7.0261 alpha=90.00 beta=90.00 gamma=90.00
Space group P4/mmm (No. 123)
Unique sites:
Ho  0.0000  0.0000  0.2335 (multiplicity 2)
Ga  0.5000  0.5000  0.5000 (multiplicity 1)
Os  0.5000  0.5000  0.0000 (multiplicity 1)

- DFT formation energy: -428 meV per atom
- V: 21.10 Å³/atom
- Total moment: 0.00 μB/f.u.
- Uncorrected energy: -25.12 eV/cell